[1]
A plane-wave DFT calculation with PBE was carried out for an optimized crystal structure of K3GaAu3.

Computed properties:
The calculation puts the energy of formation at -171 meV per atom. Its total energy is -34.69 eV for the cell shown. For the density of states at the Fermi level, the calculation gives 3.3 states/eV/f.u. The polymorph energy (0 for the lowest one) is 95.9 kJ/mol of formula units.

Unit cell a=9.7795 b=9.7795 c=6.7022 alpha=90.00 beta=90.00 gamma=120.00
Sites, in units of the cell vectors:
K (0.0739, 0.3685, 0.2500)
K (0.2946, 0.9261, 0.2500)
K (0.3685, 0.2946, 0.7500)
K (0.6315, 0.7054, 0.2500)
K (0.7054, 0.0739, 0.7500)
K (0.9261, 0.6315, 0.7500)
Ga (0.3333, 0.6667, 0.7500)
Ga (0.6667, 0.3333, 0.2500)
Au (0.0824, 0.3932, 0.7500)
Au (0.3108, 0.9176, 0.7500)
Au (0.3932, 0.3108, 0.2500)
Au (0.6068, 0.6892, 0.7500)
Au (0.6892, 0.0824, 0.2500)
Au (0.9176, 0.6068, 0.2500)



[2]
A plane-wave DFT calculation with PBE was carried out for an optimized crystal structure of LuTaFeCo.

Computed properties:
The calculation puts the energy of formation at -81 meV per atom. Its total energy is -32.27 eV for the cell shown. For the density of states at the Fermi level, the calculation gives 3.0 states/eV/f.u.

Unit cell a=4.4510 b=4.4510 c=4.4510 alpha=60.00 beta=60.00 gamma=60.00
Sites, in units of the cell vectors:
Lu (0.0000, 0.0000, 0.0000)
Ta (0.5000, 0.5000, 0.5000)
Fe (0.2500, 0.2500, 0.2500)
Co (0.7500, 0.7500, 0.7500)



[3]
A plane-wave DFT calculation with PBE was carried out for an optimized crystal structure of RePt4Rh.

Computed properties:
The calculation puts the energy of formation at -85 meV per atom. Its total energy is -44.47 eV for the cell shown. For the density of states at the Fermi level, the calculation gives 8.6 states/eV/f.u. The polymorph energy (0 for the lowest one) is 0.0 kJ/mol of formula units.

Unit cell a=2.7677 b=2.7677 c=11.9581 alpha=90.00 beta=90.00 gamma=90.00
Sites, in units of the cell vectors:
Re (0.0000, 0.0000, 0.0000)
Pt (0.0000, 0.0000, 0.3368)
Pt (0.0000, 0.0000, 0.6632)
Pt (0.5000, 0.5000, 0.1594)
Pt (0.5000, 0.5000, 0.8406)
Rh (0.5000, 0.5000, 0.5000)



[4]
A plane-wave DFT calculation with PBE was carried out for an optimized crystal structure of Pr4Cu2Sn.

Computed properties:
The calculation puts the energy of formation at -152 meV per atom. Its total energy is -32.38 eV for the cell shown. For the density of states at the Fermi level, the calculation gives 7.4 states/eV/f.u.

Unit cell a=9.6233 b=9.6233 c=9.6233 alpha=30.69 beta=30.69 gamma=30.69
Sites, in units of the cell vectors:
Pr (0.1176, 0.1176, 0.1176)
Pr (0.2957, 0.2957, 0.2957)
Pr (0.7043, 0.7043, 0.7043)
Pr (0.8824, 0.8824, 0.8824)
Cu (0.4015, 0.4015, 0.4015)
Cu (0.5985, 0.5985, 0.5985)
Sn (0.5000, 0.5000, 0.5000)



[5]
A plane-wave DFT calculation with PBE was carried out for an optimized crystal structure of Nb2TcRh9.

Computed properties:
The calculation puts the energy of formation at -351 meV per atom. Its total energy is -100.88 eV for the cell shown. For the density of states at the Fermi level, the calculation gives 9.0 states/eV/f.u.

Unit cell a=3.8826 b=3.8826 c=11.6730 alpha=90.00 beta=90.00 gamma=90.00
Sites, in units of the cell vectors:
Nb (0.0000, 0.0000, 0.1657)
Nb (0.0000, 0.0000, 0.8343)
Tc (0.0000, 0.0000, 0.5000)
Rh (0.0000, 0.5000, 0.0000)
Rh (0.0000, 0.5000, 0.3382)
Rh (0.0000, 0.5000, 0.6618)
Rh (0.5000, 0.0000, 0.0000)
Rh (0.5000, 0.0000, 0.3382)
Rh (0.5000, 0.0000, 0.6618)
Rh (0.5000, 0.5000, 0.1693)
Rh (0.5000, 0.5000, 0.5000)
Rh (0.5000, 0.5000, 0.8307)



[6]
A plane-wave DFT calculation with PBE was carried out for an optimized crystal structure of LaPr8Nd5.

Computed properties:
The calculation puts the energy of formation at 207 meV per atom. Its total energy is -64.11 eV for the cell shown. For the density of states at the Fermi level, the calculation gives 20.8 states/eV/f.u.

Unit cell a=8.7406 b=8.7406 c=8.7406 alpha=111.67 beta=111.67 gamma=105.15
Sites, in units of the cell vectors:
La (0.0000, 0.0000, 0.0000)
Pr (0.0832, 0.6883, 0.7623)
Pr (0.2826, 0.5332, 0.1037)
Pr (0.3117, 0.0741, 0.3950)
Pr (0.4295, 0.1789, 0.8963)
Pr (0.4668, 0.5705, 0.7494)
Pr (0.6791, 0.9168, 0.6050)
Pr (0.8211, 0.7174, 0.2506)
Pr (0.9259, 0.3209, 0.2377)
Nd (0.0301, 0.2136, 0.6002)
Nd (0.2500, 0.7500, 0.5000)
Nd (0.5701, 0.9699, 0.1834)
Nd (0.6133, 0.4299, 0.3998)
Nd (0.7864, 0.3867, 0.8166)